No. 1
First-principles (PBE-GGA) data for a relaxed YPdAu3 crystal, as listed in Alexandria.

The structure in extended XYZ format:
```
5
Lattice="5.006 0.000 0.000 0.000 5.006 0.000 0.000 0.000 5.006" Properties=species:S:1:pos:R:3 pbc="T T T"
Y 0.000 0.000 0.000
Pd 2.503 2.503 2.503
Au 0.000 2.503 2.503
Au 2.503 0.000 2.503
Au 2.503 2.503 0.000
```

Summary:
Size of the total moment: 0.00 μB/f.u.
Final energy: -4.194 eV per atom
Theoretical density: 10.4 g/cm3

No. 2
First-principles (PBE-GGA) data for a relaxed YPd2Au crystal, as listed in Alexandria.

The structure in extended XYZ format:
```
8
Lattice="-2.078 2.078 9.496 2.078 -2.078 9.496 2.078 2.078 -9.496" Properties=species:S:1:pos:R:3 pbc="T T T"
Y 0.000 0.000 0.000
Y 0.000 2.078 4.748
Pd 1.039 -0.968 7.122
Pd 1.110 1.039 2.374
Pd 1.039 3.046 -2.374
Pd 0.968 1.039 11.870
Au 2.078 0.000 4.748
Au 0.000 0.000 9.496
```

Summary:
Size of the total moment: 0.00 μB/f.u.
Final energy: -5.502 eV per atom
Theoretical density: 10.1 g/cm3

No. 3
First-principles (PBE-GGA) data for a relaxed YPdAu3 crystal, as listed in Alexandria.

The structure in extended XYZ format:
```
20
Lattice="7.540 0.000 0.000 0.000 5.814 0.000 -2.885 0.000 8.762" Properties=species:S:1:pos:R:3 pbc="T T T"
Y 0.686 0.018 2.654
Y -0.756 2.888 7.035
Y 5.411 2.925 1.727
Y 3.969 5.795 6.108
Pd 1.185 1.444 5.223
Pd 2.628 1.462 0.841
Pd 2.027 4.351 7.921
Pd 3.470 4.369 3.540
Au 0.014 4.359 0.003
Au -1.428 4.362 4.384
Au 0.901 2.915 2.728
Au -0.541 5.806 7.110
Au 2.704 4.360 0.861
Au 1.262 4.361 5.242
Au 3.394 1.453 3.520
Au 1.951 1.454 7.901
Au 5.197 0.008 1.653
Au 3.754 2.899 6.034
Au 4.641 1.455 8.759
Au 6.084 1.452 4.378
```

Summary:
Size of the total moment: 0.00 μB/f.u.
Final energy: -4.891 eV per atom
Theoretical density: 13.6 g/cm3

No. 4
First-principles (PBE-GGA) data for a relaxed YPd5Au2 crystal, as listed in Alexandria.

The structure in extended XYZ format:
```
16
Lattice="5.752 0.000 0.000 0.000 11.473 0.000 0.000 0.000 4.167" Properties=species:S:1:pos:R:3 pbc="T T T"
Y 0.000 0.000 0.000
Y 2.876 5.737 0.000
Pd 0.000 5.737 0.000
Pd 0.124 2.872 0.000
Pd 1.376 10.042 2.084
Pd 1.500 4.306 2.084
Pd 2.752 8.609 0.000
Pd 2.876 0.000 0.000
Pd 3.000 2.865 0.000
Pd 4.253 7.167 2.084
Pd 4.376 1.431 2.084
Pd 5.628 8.601 0.000
Au 1.314 7.229 2.084
Au 1.562 1.492 2.084
Au 4.190 9.981 2.084
Au 4.438 4.245 2.084
```

Summary:
Size of the total moment: 0.00 μB/f.u.
Final energy: -5.341 eV per atom
Theoretical density: 12.3 g/cm3

No. 5
First-principles (PBE-GGA) data for a relaxed Y6PdAu5 crystal, as listed in Alexandria.

The structure in extended XYZ format:
```
12
Lattice="5.073 0.000 0.000 0.000 7.183 0.000 -2.497 0.000 7.640" Properties=species:S:1:pos:R:3 pbc="T T T"
Y 0.000 1.775 0.000
Y 0.000 5.408 0.000
Y 0.028 1.785 5.121
Y 0.028 5.399 5.121
Y 2.549 1.785 2.519
Y 2.549 5.399 2.519
Pd 2.536 0.000 0.000
Au 0.013 0.000 2.538
Au 0.010 3.592 2.568
Au 2.536 3.592 0.000
Au 2.566 3.592 5.072
Au 2.563 0.000 5.103
```

Summary:
Size of the total moment: 0.00 μB/f.u.
Final energy: -5.893 eV per atom
Theoretical density: 9.7 g/cm3

No. 6
First-principles (PBE-GGA) data for a relaxed YPd2Au3 crystal, as listed in Alexandria.

The structure in extended XYZ format:
```
12
Lattice="3.408 -4.064 0.000 3.408 4.064 0.000 -1.131 0.000 8.278" Properties=species:S:1:pos:R:3 pbc="T T T"
Y 2.560 2.974 6.209
Y 3.126 -2.974 2.070
Pd 2.064 2.445 3.088
Pd 4.187 2.445 1.051
Pd 1.499 -2.445 7.227
Pd 3.621 -2.445 5.190
Au 0.662 0.680 8.045
Au 1.228 -0.680 3.906
Au 3.126 0.044 2.070
Au 2.560 -0.044 6.209
Au 4.458 0.680 4.372
Au 5.024 -0.680 0.233
```

Summary:
Size of the total moment: 0.00 μB/f.u.
Final energy: -4.926 eV per atom
Theoretical density: 12.9 g/cm3

No. 7
First-principles (PBE-GGA) data for a relaxed YPd3Au crystal, as listed in Alexandria.

The structure in extended XYZ format:
```
5
Lattice="4.982 0.000 0.000 0.000 4.982 0.000 0.000 0.000 4.982" Properties=species:S:1:pos:R:3 pbc="T T T"
Y 0.000 0.000 0.000
Pd 0.000 0.000 2.491
Pd 0.000 2.491 0.000
Pd 2.491 0.000 0.000
Au 2.491 2.491 2.491
```

Summary:
Size of the total moment: 0.00 μB/f.u.
Final energy: -4.402 eV per atom
Theoretical density: 8.1 g/cm3

No. 8
First-principles (PBE-GGA) data for a relaxed YPd3Au6 crystal, as listed in Alexandria.

The structure in extended XYZ format:
```
20
Lattice="7.716 0.000 0.000 0.000 4.834 0.000 -3.201 0.000 9.672" Properties=species:S:1:pos:R:3 pbc="T T T"
Y 1.133 1.208 1.254
Y 3.382 3.625 8.418
Pd -1.028 1.208 3.240
Pd 0.068 3.625 4.496
Pd 0.140 1.208 8.971
Pd 4.374 3.625 0.701
Pd 4.446 1.208 5.176
Pd 5.542 3.625 6.432
Au -2.587 1.208 7.957
Au -0.524 1.208 6.024
Au -1.454 3.625 9.267
Au 0.578 3.625 7.338
Au 1.688 1.208 4.210
Au 2.262 3.625 2.623
Au 2.253 1.208 7.049
Au 2.827 3.625 5.462
Au 3.937 1.208 2.334
Au 5.969 1.208 0.405
Au 5.038 3.625 3.648
Au 7.101 3.625 1.715
```

Summary:
Size of the total moment: 0.00 μB/f.u.
Final energy: -4.512 eV per atom
Theoretical density: 14.6 g/cm3

No. 9
First-principles (PBE-GGA) data for a relaxed Y2PdAu8 crystal, as listed in Alexandria.

The structure in extended XYZ format:
```
11
Lattice="7.379 -2.455 0.000 7.379 2.455 0.000 -3.102 0.000 6.105" Properties=species:S:1:pos:R:3 pbc="T T T"
Y 2.411 0.000 1.212
Y 9.244 0.000 4.893
Pd 5.828 0.000 3.053
Au -0.663 0.000 1.337
Au 0.347 0.000 4.040
Au 3.371 0.000 4.033
Au 5.276 0.000 0.467
Au 6.379 0.000 5.638
Au 8.284 0.000 2.073
Au 11.308 0.000 2.065
Au 12.318 0.000 4.769
```

Summary:
Size of the total moment: 0.00 μB/f.u.
Final energy: -4.500 eV per atom
Theoretical density: 14.0 g/cm3

No. 10
First-principles (PBE-GGA) data for a relaxed Y12Pd6Au crystal, as listed in Alexandria.

The structure in extended XYZ format:
```
19
Lattice="6.495 3.750 3.748 -6.495 3.750 3.748 0.000 -7.500 3.748" Properties=species:S:1:pos:R:3 pbc="T T T"
Y -5.626 -1.374 6.194
Y -1.623 -5.559 5.052
Y -2.549 -0.323 4.323
Y -4.003 4.185 5.052
Y 1.554 -2.046 4.323
Y -0.995 -2.368 6.922
Y 0.995 2.368 4.323
Y -1.554 2.046 6.922
Y 4.003 -4.185 6.194
Y 2.549 0.323 6.922
Y 1.623 5.559 6.194
Y 5.626 1.374 5.052
Pd -1.150 -2.947 4.033
Pd -1.977 2.469 4.033
Pd -3.127 -0.478 7.212
Pd 3.127 0.478 4.033
Pd 1.977 -2.469 7.212
Pd 1.150 2.947 7.212
Au 0.000 0.000 0.000
```

Summary:
Size of the total moment: 0.00 μB/f.u.
Final energy: -6.401 eV per atom
Theoretical density: 5.8 g/cm3

No. 11
First-principles (PBE-GGA) data for a relaxed Y2Pd2Au crystal, as listed in Alexandria.

The structure in extended XYZ format:
```
5
Lattice="-2.688 2.688 4.037 2.688 -2.688 4.037 2.688 2.688 -4.037" Properties=species:S:1:pos:R:3 pbc="T T T"
Y 2.688 0.000 2.018
Y 0.000 2.688 2.018
Pd 0.000 0.000 1.275
Pd 0.000 0.000 6.798
Au 0.000 0.000 4.037
```

Summary:
Size of the total moment: 0.00 μB/f.u.
Final energy: -5.994 eV per atom
Theoretical density: 8.4 g/cm3

No. 12
First-principles (PBE-GGA) data for a relaxed YPd2Au5 crystal, as listed in Alexandria.

The structure in extended XYZ format:
```
16
Lattice="5.886 0.000 0.000 0.000 11.808 0.000 0.000 0.000 4.209" Properties=species:S:1:pos:R:3 pbc="T T T"
Y 0.000 0.000 0.000
Y 2.943 5.904 0.000
Pd 1.454 4.435 2.105
Pd 1.489 10.339 2.105
Pd 4.397 1.468 2.105
Pd 4.432 7.372 2.105
Au 0.000 5.904 0.000
Au 0.004 2.946 0.000
Au 1.438 7.418 2.105
Au 1.505 1.514 2.105
Au 2.939 8.850 0.000
Au 2.943 0.000 0.000
Au 2.947 2.958 0.000
Au 4.381 10.293 2.105
Au 4.447 4.390 2.105
Au 5.882 8.861 0.000
```

Summary:
Size of the total moment: 0.00 μB/f.u.
Final energy: -4.581 eV per atom
Theoretical density: 14.6 g/cm3